Record 1
Entry from OQMD: a geometry-optimized Tb3ReTc6 structure (PBE).

Cell and atoms, written as extended XYZ:
```
10
Lattice="-3.423 3.423 5.395 3.423 -3.423 5.395 3.423 3.423 -5.395" Properties=species:S:1:pos:R:3 pbc="T T T"
Tb 0.000 0.000 0.000
Tb 3.423 0.000 2.697
Tb 0.000 3.423 2.697
Re 0.000 0.000 5.395
Tc 3.423 1.090 0.000
Tc 0.000 0.000 3.074
Tc 1.090 3.423 0.000
Tc 2.333 0.000 5.395
Tc 0.000 0.000 7.715
Tc 0.000 2.333 5.395
```

Space group: I4/mmm, No. 139
VASP energy: -75.8 eV/cell
ΔE_f: 1.270 eV per atom

=====

Record 2
Entry from OQMD: a geometry-optimized HfReMo structure (PBE).

Cell and atoms, written as extended XYZ:
```
12
Lattice="6.597 0.000 0.000 0.000 4.396 0.000 0.000 0.000 7.581" Properties=species:S:1:pos:R:3 pbc="T T T"
Hf 0.029 1.099 1.478
Hf 3.269 3.297 5.269
Hf 3.327 1.099 2.312
Hf 6.567 3.297 6.103
Re 1.039 1.099 4.304
Re 2.259 3.297 0.514
Re 4.337 1.099 7.067
Re 5.558 3.297 3.277
Mo 1.452 3.297 2.981
Mo 1.847 1.099 6.771
Mo 4.750 3.297 0.810
Mo 5.145 1.099 4.600
```

Space group: Pnma, No. 62
VASP energy: -132.3 eV/cell
Polymorph energy (0 for the lowest one): 32.2 kJ per mole of atoms
ΔE_f: 0.050 eV per atom

=====

Record 3
Entry from OQMD: a geometry-optimized Pr6Zr2In structure (PBE).

Cell and atoms, written as extended XYZ:
```
9
Lattice="5.543 0.000 0.000 0.000 5.557 0.000 0.000 0.000 12.004" Properties=species:S:1:pos:R:3 pbc="T T T"
Pr 0.000 0.000 0.000
Pr 0.000 0.000 6.002
Pr 0.000 2.779 2.412
Pr 0.000 2.779 9.592
Pr 2.771 0.000 2.393
Pr 2.771 0.000 9.612
Zr 0.000 0.000 3.170
Zr 0.000 0.000 8.834
In 2.771 2.779 0.000
```

Space group: Pmmm, No. 47
VASP energy: -43.0 eV/cell

=====

Record 4
Entry from OQMD: a geometry-optimized Lu8P2C3N3 structure (PBE).

Cell and atoms, written as extended XYZ:
```
16
Lattice="3.455 0.000 0.000 -1.727 2.992 0.000 0.000 0.000 24.218" Properties=species:S:1:pos:R:3 pbc="T T T"
Lu 0.000 0.000 4.006
Lu 0.000 0.000 7.908
Lu 0.000 0.000 16.309
Lu 0.000 0.000 20.211
Lu 0.000 1.995 13.560
Lu 0.000 1.995 22.882
Lu 1.727 0.997 1.336
Lu 1.727 0.997 10.658
P 0.000 1.995 18.305
P 1.727 0.997 5.913
C 0.000 0.000 12.109
C 0.000 1.995 9.178
C 1.727 0.997 15.040
N 0.000 0.000 0.000
N 0.000 1.995 2.737
N 1.727 0.997 21.481
```

Space group: P-3m1, No. 164
VASP energy: -116.5 eV/cell